Material: AsHPb4Cl4O4
Method: DFT, PBE
State: relaxed

Values from the calculation:
* spin magnetization: 0.000 μB per atom
* DFT total energy: -67.04 eV per formula unit

Structure (extended XYZ):
```
56
Lattice="-6.5630 -3.7625 -3.0667 5.9928 -8.8684 -1.9448 -4.7921 -2.3628 13.1546" Properties=species:S:1:pos:R:3 pbc="T T T"
As -2.9714 -3.5054 0.9411
As -7.9768 -8.5386 6.9645
As -2.3910 -11.4883 7.2021
As 2.6145 -6.4551 1.1787
H -4.2899 -4.5463 9.3740
H -4.0402 -5.9968 -0.2450
H -1.0724 -10.4474 -1.2307
H -1.3221 -8.9969 8.3882
Pb -0.0079 -7.6358 3.2990
Pb -2.7532 -12.0186 3.6872
Pb -5.3544 -7.3579 4.8443
Pb -2.6091 -2.9750 4.4560
Pb 1.4832 -9.4618 -0.4621
Pb -5.9420 -11.1658 6.6551
Pb -6.8455 -5.5318 8.6054
Pb 0.5797 -3.8278 1.4882
Pb -6.1671 -3.3666 11.5530
Pb -2.3992 -7.3119 -2.5343
Pb 0.8048 -11.6271 -3.4097
Pb -2.9631 -7.6817 10.6776
Pb 0.7314 -10.9391 6.1517
Pb -3.2617 -8.5830 0.9424
Pb -6.0937 -4.0546 1.9916
Pb -2.1006 -6.4107 7.2009
Cl -4.4122 -13.7532 5.5204
Cl -0.6720 -7.2329 0.3803
Cl -0.9502 -1.2404 2.6228
Cl -4.6904 -7.7608 7.7629
Cl 0.6845 -8.4542 -3.0737
Cl -0.4437 -9.4792 11.4626
Cl -6.0468 -6.5394 11.2169
Cl -4.9186 -5.5144 -3.3193
Cl 0.6066 -7.5281 6.0856
Cl -0.8100 -10.6600 2.0957
Cl -5.9689 -7.4656 2.0577
Cl -4.5523 -4.3336 6.0475
Cl -2.1981 -5.7398 3.4876
Cl -7.8681 -5.7986 4.8301
Cl -3.1642 -9.2539 4.6556
Cl 2.5058 -9.1950 3.3131
O -3.8869 -2.9250 2.4457
O -6.9060 -9.0299 5.5326
O -1.4754 -12.0686 5.6976
O 1.5436 -5.9637 2.6107
O -3.2999 -1.9976 -0.0410
O -7.5488 -9.9893 7.9931
O -2.0625 -12.9961 8.1842
O 2.1865 -5.0043 0.1501
O -4.3803 -4.4108 0.2828
O -2.8952 -5.5277 9.3389
O -0.9820 -10.5828 7.8604
O -2.4671 -9.4660 -1.1957
O -5.1701 -4.0534 9.3551
O -3.9440 -6.9391 -0.5924
O -0.1923 -10.9403 -1.2119
O -1.4183 -8.0545 8.7357
```